No. 1
Entry from the Alexandria database: crystalline PrMn2CrN4 at its relaxed geometry (GGA-PBE).

Unit cell a=5.8828 b=5.8828 c=9.9936 alpha=90.00 beta=90.00 gamma=147.91
Closest atoms and distances in Å follow each position.
Atoms (fractional coordinates):
Pr 0.0787 0.9213 0.7500  8 N 2.56-2.65
Pr 0.9213 0.0787 0.2500  8 N 2.56-2.65
Mn 0.3822 0.6178 0.5409  2 N 1.90-2.10
Mn 0.3822 0.6178 0.9591  2 N 1.90-2.10
Mn 0.6178 0.3822 0.0409  2 N 1.90-2.10
Mn 0.6178 0.3822 0.4591  2 N 1.90-2.10
Cr 0.1870 0.8130 0.2500  4 N 1.75-1.93
Cr 0.8130 0.1870 0.7500  4 N 1.75-1.93
N 0.0000 0.0000 0.0000  4 Mn 2.14
N 0.0000 0.0000 0.5000  4 Mn 2.14
N 0.2828 0.7172 0.1128  1 Cr 1.75, 1 Mn 1.90
N 0.2828 0.7172 0.3872  1 Cr 1.75, 1 Mn 1.90
N 0.4042 0.5958 0.7500  2 Cr 1.93, 2 Mn 2.10
N 0.5958 0.4042 0.2500  2 Cr 1.93, 2 Mn 2.10
N 0.7172 0.2828 0.6128  1 Cr 1.75, 1 Mn 1.90
N 0.7172 0.2828 0.8872  1 Cr 1.75, 1 Mn 1.90

energy = -8.704 eV/atom

***

No. 2
Entry from the Alexandria database: crystalline Cs2TlPt at its relaxed geometry (GGA-PBE).

Unit cell a=13.1701 b=13.1701 c=5.2486 alpha=90.00 beta=90.00 gamma=90.00
Closest atoms and distances in Å follow each position.
Atoms (fractional coordinates):
Cs 0.0804 0.2500 0.1250  2 Pt 3.52
Cs 0.2500 0.5804 0.3750  2 Pt 3.52
Cs 0.2500 0.9196 0.8750  2 Pt 3.52
Cs 0.4196 0.2500 0.6250  2 Pt 3.52
Cs 0.5804 0.7500 0.6250  2 Pt 3.52
Cs 0.7500 0.0804 0.8750  2 Pt 3.52
Cs 0.7500 0.4196 0.3750  2 Pt 3.52
Cs 0.9196 0.7500 0.1250  2 Pt 3.52
Tl 0.0000 0.0000 0.5000  2 Pt 2.62
Tl 0.0000 0.5000 0.7500  2 Pt 2.62
Tl 0.5000 0.0000 0.2500  2 Pt 2.62
Tl 0.5000 0.5000 0.0000  2 Pt 2.62
Pt 0.0000 0.0000 0.0000  2 Tl 2.62
Pt 0.0000 0.5000 0.2500  2 Tl 2.62
Pt 0.5000 0.0000 0.7500  2 Tl 2.62
Pt 0.5000 0.5000 0.5000  2 Tl 2.62

energy above the most stable polymorph in this dataset = 26 meV per atom
energy of formation from the pure elements = -92.3 meV per atom

***

No. 3
Entry from the Alexandria database: crystalline AcNdCuRu at its relaxed geometry (GGA-PBE).

Unit cell a=4.3688 b=4.1352 c=11.0917 alpha=90.00 beta=90.00 gamma=90.00
Closest atoms and distances in Å follow each position.
Atoms (fractional coordinates):
Ac 0.0000 0.0000 0.0000  3 Ru 3.10-3.20, 4 Cu 3.13
Ac 0.0000 0.5000 0.5000  3 Ru 3.10-3.20, 4 Cu 3.13
Nd 0.5000 0.0000 0.7208  3 Cu 3.04-3.32, 4 Ru 3.08
Nd 0.5000 0.5000 0.2208  3 Cu 3.04-3.32, 4 Ru 3.08
Cu 0.5000 0.0000 0.4212  2 Ru 2.69
Cu 0.5000 0.5000 0.9212  2 Ru 2.69
Ru 0.0000 0.0000 0.2793  2 Cu 2.69
Ru 0.0000 0.5000 0.7793  2 Cu 2.69

energy above the most stable polymorph in this dataset = 0 meV per atom
energy of formation from the pure elements = -140.0 meV per atom

***

No. 4
Entry from the Alexandria database: crystalline SiGeO3 at its relaxed geometry (GGA-PBE).

Unit cell a=3.7177 b=3.7177 c=3.7177 alpha=90.00 beta=90.00 gamma=90.00
Closest atoms and distances in Å follow each position.
Atoms (fractional coordinates):
Si 0.0000 0.0000 0.0000  12 O 2.63
Ge 0.5000 0.5000 0.5000  6 O 1.86
O 0.0000 0.5000 0.5000  2 Ge 1.86
O 0.5000 0.0000 0.5000  2 Ge 1.86
O 0.5000 0.5000 0.0000  2 Ge 1.86

energy = -5.842 eV/atom

***

No. 5
Entry from the Alexandria database: crystalline Cs2AgPtI6 at its relaxed geometry (GGA-PBE).

Unit cell a=14.8773 b=14.8773 c=14.8773 alpha=31.77 beta=31.77 gamma=31.77
Closest atoms and distances in Å follow each position.
Atoms (fractional coordinates):
Cs 0.1197 0.1197 0.1197  12 I 4.09-4.34
Cs 0.2974 0.2974 0.2974  9 I 3.98-4.07
Cs 0.7026 0.7026 0.7026  9 I 3.98-4.07
Cs 0.8803 0.8803 0.8803  12 I 4.09-4.34
Ag 0.4138 0.4138 0.4138  6 I 3.01-3.05
Ag 0.5862 0.5862 0.5862  6 I 3.01-3.05
Pt 0.0000 0.0000 0.0000  6 I 2.80
Pt 0.5000 0.5000 0.5000  6 I 2.78
I 0.1409 0.6227 0.6227  1 Pt 2.78, 1 Ag 3.05
I 0.1997 0.1997 0.7161  1 Pt 2.80, 1 Ag 3.01
I 0.1997 0.7161 0.1997  1 Pt 2.80, 1 Ag 3.01
I 0.2839 0.8003 0.8003  1 Pt 2.80, 1 Ag 3.01
I 0.3773 0.3773 0.8591  1 Pt 2.78, 1 Ag 3.05
I 0.3773 0.8591 0.3773  1 Pt 2.78, 1 Ag 3.05
I 0.6227 0.1409 0.6227  1 Pt 2.78, 1 Ag 3.05
I 0.6227 0.6227 0.1409  1 Pt 2.78, 1 Ag 3.05
I 0.7161 0.1997 0.1997  1 Pt 2.80, 1 Ag 3.01
I 0.8003 0.2839 0.8003  1 Pt 2.80, 1 Ag 3.01
I 0.8003 0.8003 0.2839  1 Pt 2.80, 1 Ag 3.01
I 0.8591 0.3773 0.3773  1 Pt 2.78, 1 Ag 3.05

energy = -2.687 eV/atom

***

No. 6
Entry from the Alexandria database: crystalline Li2AlIr at its relaxed geometry (GGA-PBE).

Unit cell a=2.8456 b=4.5349 c=9.1095 alpha=90.00 beta=90.00 gamma=90.00
Closest atoms and distances in Å follow each position.
Atoms (fractional coordinates):
Li 0.0000 0.0000 0.2330  2 Ir 2.56, 6 Li 2.68-2.85, 2 Al 2.82
Li 0.0000 0.0000 0.7670  2 Ir 2.56, 6 Li 2.68-2.85, 2 Al 2.82
Li 0.5000 0.5000 0.2330  2 Ir 2.56, 6 Li 2.68-2.85, 2 Al 2.82
Li 0.5000 0.5000 0.7670  2 Ir 2.56, 6 Li 2.68-2.85, 2 Al 2.82
Al 0.0000 0.5000 0.5000  6 Al 2.68-2.85, 4 Li 2.82
Al 0.5000 0.0000 0.5000  6 Al 2.68-2.85, 4 Li 2.82
Ir 0.0000 0.5000 0.0000  4 Li 2.56, 6 Ir 2.68-2.85
Ir 0.5000 0.0000 0.0000  4 Li 2.56, 6 Ir 2.68-2.85

energy of formation from the pure elements = -114.3 meV per atom

***

No. 7
Entry from the Alexandria database: crystalline CePr2Ir2 at its relaxed geometry (GGA-PBE).

Unit cell a=6.7820 b=6.7820 c=11.6144 alpha=120.24 beta=120.24 gamma=34.69
Closest atoms and distances in Å follow each position.
Atoms (fractional coordinates):
Ce 0.2011 0.2011 0.3571  4 Ir 2.64-2.96
Ce 0.7989 0.7989 0.6429  4 Ir 2.64-2.96
Pr 0.3342 0.3342 0.9231  4 Ir 2.93-3.24
Pr 0.4598 0.4598 0.3103  6 Ir 3.09-3.28
Pr 0.5402 0.5402 0.6897  6 Ir 3.09-3.28
Pr 0.6658 0.6658 0.0769  4 Ir 2.93-3.24
Ir 0.0067 0.0067 0.8794  1 Ce 2.64, 1 Ir 2.90, 2 Pr 2.93
Ir 0.1318 0.1318 0.5623  3 Ce 2.74-2.96, 1 Ir 2.92
Ir 0.8682 0.8682 0.4377  3 Ce 2.74-2.96, 1 Ir 2.92
Ir 0.9933 0.9933 0.1206  1 Ce 2.64, 1 Ir 2.90, 2 Pr 2.93

energy above the most stable polymorph in this dataset = 24 meV per atom
energy of formation from the pure elements = -591.3 meV per atom

***

No. 8
Entry from the Alexandria database: crystalline PuZrMnIr at its relaxed geometry (GGA-PBE).

Unit cell a=6.6723 b=6.6723 c=6.6723 alpha=90.00 beta=90.00 gamma=90.00
Closest atoms and distances in Å follow each position.
Atoms (fractional coordinates):
Pu 0.0000 0.0000 0.0000  4 Ir 2.89, 4 Mn 2.89
Pu 0.0000 0.5000 0.5000  4 Ir 2.89, 4 Mn 2.89
Pu 0.5000 0.0000 0.5000  4 Ir 2.89, 4 Mn 2.89
Pu 0.5000 0.5000 0.0000  4 Ir 2.89, 4 Mn 2.89
Zr 0.0000 0.0000 0.5000  4 Mn 2.89, 4 Ir 2.89
Zr 0.0000 0.5000 0.0000  4 Mn 2.89, 4 Ir 2.89
Zr 0.5000 0.0000 0.0000  4 Mn 2.89, 4 Ir 2.89
Zr 0.5000 0.5000 0.5000  4 Mn 2.89, 4 Ir 2.89
Mn 0.2500 0.2500 0.7500  4 Zr 2.89, 4 Pu 2.89
Mn 0.2500 0.7500 0.2500  4 Zr 2.89, 4 Pu 2.89
Mn 0.7500 0.2500 0.2500  4 Zr 2.89, 4 Pu 2.89
Mn 0.7500 0.7500 0.7500  4 Zr 2.89, 4 Pu 2.89
Ir 0.2500 0.2500 0.2500  4 Zr 2.89, 4 Pu 2.89
Ir 0.2500 0.7500 0.7500  4 Zr 2.89, 4 Pu 2.89
Ir 0.7500 0.2500 0.7500  4 Zr 2.89, 4 Pu 2.89
Ir 0.7500 0.7500 0.2500  4 Zr 2.89, 4 Pu 2.89

energy of formation from the pure elements = -284.9 meV per atom

***

No. 9
Entry from the Alexandria database: crystalline BaSb2Te2 at its relaxed geometry (GGA-PBE).

Unit cell a=6.1905 b=6.1905 c=9.6244 alpha=90.00 beta=90.00 gamma=90.00
Closest atoms and distances in Å follow each position.
Atoms (fractional coordinates):
Ba 0.0000 0.0000 0.0000  2 Sb 3.41
Ba 0.5000 0.5000 0.5000  2 Sb 3.41
Sb 0.0000 0.0000 0.3540  1 Sb 2.81
Sb 0.0000 0.0000 0.6460  1 Sb 2.81
Sb 0.5000 0.5000 0.1460  1 Sb 2.81
Sb 0.5000 0.5000 0.8540  1 Sb 2.81
Te 0.0000 0.5000 0.2500  4 Sb 3.25
Te 0.0000 0.5000 0.7500  4 Sb 3.25
Te 0.5000 0.0000 0.2500  4 Sb 3.25
Te 0.5000 0.0000 0.7500  4 Sb 3.25

energy above the most stable polymorph in this dataset = 93 meV per atom

***

No. 10
Entry from the Alexandria database: crystalline KFeBr3 at its relaxed geometry (GGA-PBE).

Unit cell a=9.3491 b=4.0610 c=15.1151 alpha=90.00 beta=90.00 gamma=90.00
Closest atoms and distances in Å follow each position.
Atoms (fractional coordinates):
K 0.0563 0.2500 0.1718  8 Br 3.40-3.55
K 0.4437 0.7500 0.6718  8 Br 3.40-3.55
K 0.5563 0.2500 0.3282  8 Br 3.40-3.55
K 0.9437 0.7500 0.8282  8 Br 3.40-3.55
Fe 0.1590 0.7500 0.4480  6 Br 2.52-2.73
Fe 0.3410 0.2500 0.9480  6 Br 2.52-2.73
Fe 0.6590 0.7500 0.0520  6 Br 2.52-2.73
Fe 0.8410 0.2500 0.5520  6 Br 2.52-2.73
Br 0.0210 0.7500 0.5986  3 Fe 2.62-2.73
Br 0.1801 0.7500 0.0056  2 Fe 2.67
Br 0.2305 0.2500 0.7958  1 Fe 2.52
Br 0.2695 0.7500 0.2958  1 Fe 2.52
Br 0.3199 0.2500 0.5056  2 Fe 2.67
Br 0.4790 0.2500 0.0986  3 Fe 2.62-2.73
Br 0.5210 0.7500 0.9014  3 Fe 2.62-2.73
Br 0.6801 0.7500 0.4944  2 Fe 2.67
Br 0.7305 0.2500 0.7042  1 Fe 2.52
Br 0.7695 0.7500 0.2042  1 Fe 2.52
Br 0.8199 0.2500 0.9944  2 Fe 2.67
Br 0.9790 0.2500 0.4014  3 Fe 2.62-2.73

energy = -3.837 eV/atom

***

No. 11
Entry from the Alexandria database: crystalline Dy3Ho2ErTe6 at its relaxed geometry (GGA-PBE).

Unit cell a=9.7030 b=9.7030 c=8.7203 alpha=103.05 beta=103.05 gamma=25.74
Closest atoms and distances in Å follow each position.
Atoms (fractional coordinates):
Dy 0.0000 0.0000 0.0000  6 Te 3.07-3.08
Dy 0.3325 0.3325 0.6674  6 Te 3.07-3.09
Dy 0.6675 0.6675 0.3326  6 Te 3.07-3.09
Ho 0.3327 0.3327 0.1666  6 Te 3.05-3.07
Ho 0.6673 0.6673 0.8334  6 Te 3.05-3.07
Er 0.0000 0.0000 0.5000  6 Te 3.05-3.06
Te 0.1656 0.1656 0.5831  1 Er 3.05, 2 Ho 3.07, 3 Dy 3.07-3.08
Te 0.1667 0.1667 0.0817  3 Ho 3.05-3.06, 3 Dy 3.07
Te 0.4998 0.4998 0.2521  2 Er 3.06, 1 Ho 3.07, 3 Dy 3.08-3.09
Te 0.5002 0.5002 0.7479  2 Er 3.06, 1 Ho 3.07, 3 Dy 3.08-3.09
Te 0.8333 0.8333 0.9183  3 Ho 3.05-3.06, 3 Dy 3.07
Te 0.8344 0.8344 0.4169  1 Er 3.05, 2 Ho 3.07, 3 Dy 3.07-3.08

energy = -5.121 eV/atom